Record 1
Computed, not measured: a geometry-optimized BaSnRh2Pb2 structure at the PBE level of DFT.

The calculation puts the formation energy at -198 meV/atom. The value obtained for the density is 8579 kg/m3. For the total magnetization, the calculation gives 0.0000 μB per atom.

Geometry as CIF:
```
data_BaSnRh2Pb2
_symmetry_space_group_name_H-M 'P 4/m m m'
_symmetry_Int_Tables_number 123
_symmetry_space_group_name_Hall '-P 4 2'
_cell_length_a 5.017
_cell_length_b 5.017
_cell_length_c 6.740
_cell_angle_alpha 90.00
_cell_angle_beta 90.00
_cell_angle_gamma 90.00
loop_
_atom_site_label
_atom_site_fract_x
_atom_site_fract_y
_atom_site_fract_z
_atom_site_occupancy
Ba1 0.000 0.000 0.000 1
Sn1 0.000 0.000 0.500 1
Rh1 0.000 0.500 0.500 1
Pb1 0.500 0.500 0.261 1
```

***

Record 2
Computed, not measured: a geometry-optimized BaSrRhPb2 structure at the PBE level of DFT.

The calculation puts the formation energy at -283 meV/atom. The value obtained for the density is 7383 kg/m3. For the total magnetization, the calculation gives 0.0000 μB per atom.

Geometry as CIF:
```
data_BaSrRhPb2
_symmetry_space_group_name_H-M 'P 4/m m m'
_symmetry_Int_Tables_number 123
_symmetry_space_group_name_Hall '-P 4 2'
_cell_length_a 5.495
_cell_length_b 5.495
_cell_length_c 5.528
_cell_angle_alpha 90.00
_cell_angle_beta 90.00
_cell_angle_gamma 90.00
loop_
_atom_site_label
_atom_site_fract_x
_atom_site_fract_y
_atom_site_fract_z
_atom_site_occupancy
Ba1 0.000 0.000 0.000 1
Sr1 0.500 0.500 0.000 1
Rh1 0.500 0.500 0.500 1
Pb1 0.000 0.500 0.500 1
```

***

Record 3
Computed, not measured: a geometry-optimized BaTeRhPb2 structure at the PBE level of DFT.

The value obtained for the uncorrected formation energy is -0.47 eV per atom. The value obtained for the density is 7725 kg/m3. For the total magnetization, the calculation gives 0.0000 μB per atom.

Geometry as CIF:
```
data_BaTeRhPb2
_symmetry_space_group_name_H-M 'P 4/m m m'
_symmetry_Int_Tables_number 123
_symmetry_space_group_name_Hall '-P 4 2'
_cell_length_a 5.247
_cell_length_b 5.247
_cell_length_c 6.107
_cell_angle_alpha 90.00
_cell_angle_beta 90.00
_cell_angle_gamma 90.00
loop_
_atom_site_label
_atom_site_fract_x
_atom_site_fract_y
_atom_site_fract_z
_atom_site_occupancy
Ba1 0.000 0.000 0.000 1
Te1 0.500 0.500 0.000 1
Rh1 0.000 0.000 0.500 1
Pb1 0.000 0.500 0.500 1
```

***

Record 4
Computed, not measured: a geometry-optimized Ba2TlRhPb6 structure at the PBE level of DFT.

The calculation puts the formation energy at -191 meV/atom. The value obtained for the density is 8595 kg/m3. For the total magnetization, the calculation gives 0.0000 μB per atom.

Geometry as CIF:
```
data_Ba2TlRhPb6
_symmetry_space_group_name_H-M 'R -3 m'
_symmetry_Int_Tables_number 166
_symmetry_space_group_name_Hall '-R 3 2"'
_cell_length_a 7.3475
_cell_length_b 7.3475
_cell_length_c 45.2537
_cell_angle_alpha 90.00
_cell_angle_beta 90.00
_cell_angle_gamma 120.00
loop_
_atom_site_label
_atom_site_fract_x
_atom_site_fract_y
_atom_site_fract_z
_atom_site_occupancy
Ba1 0.0000 0.0000 0.1178 1
Ba2 0.0000 0.0000 0.2784 1
Tl1 0.0000 0.0000 0.4233 1
Rh1 0.0000 0.0000 0.0000 1
Rh2 0.0000 0.0000 0.5000 1
Pb1 0.0353 0.5176 0.3030 1
Pb2 0.0426 0.5213 0.8643 1
```